[1]
This record from Alexandria via LeMat-Bulk describes a relaxed structure of BaLiPr2Hg4. The functional is PBE.

Results
The uncorrected energy comes out at -53.72 eV per cell. As for the crystal system: trigonal. Its formation energy from the elements is -0.4130 eV/atom. Its total magnetic moment is 0.00 μB/f.u.

Structure (CIF):
```
data_BaLiPr2Hg4
_cell_length_a 5.3368
_cell_length_b 5.3368
_cell_length_c 29.0403
_cell_angle_alpha 90.00
_cell_angle_beta 90.00
_cell_angle_gamma 120.00
_symmetry_space_group_name_H-M 'R -3 m'
_symmetry_Int_Tables_number 166
_symmetry_space_group_name_Hall '-R 3 2"'
loop_
_atom_site_label
_atom_site_type_symbol
_atom_site_fract_x
_atom_site_fract_y
_atom_site_fract_z
Ba1 Ba 0.0000 0.0000 0.0000
Li1 Li 0.0000 0.0000 0.5000
Pr1 Pr 0.0000 0.0000 0.2356
Hg1 Hg 0.0000 0.0000 0.1268
Hg2 Hg 0.0000 0.0000 0.3986
```

[2]
This record from Alexandria via LeMat-Bulk describes a relaxed structure of Ba3Li2Pr2Hg4. The functional is PBE.

Results
The uncorrected energy comes out at -23.11 eV per cell. As for the crystal system: trigonal. Its formation energy from the elements is -0.2502 eV/atom. Its total magnetic moment is 0.00 μB/f.u.

Structure (CIF):
```
data_Ba3Li2Pr2Hg4
_cell_length_a 5.2508
_cell_length_b 5.2508
_cell_length_c 16.2988
_cell_angle_alpha 90.00
_cell_angle_beta 90.00
_cell_angle_gamma 120.00
_symmetry_space_group_name_H-M 'P -3 m 1'
_symmetry_Int_Tables_number 164
_symmetry_space_group_name_Hall '-P 3 2"'
loop_
_atom_site_label
_atom_site_type_symbol
_atom_site_fract_x
_atom_site_fract_y
_atom_site_fract_z
Ba1 Ba 0.0000 0.0000 0.0000
Ba2 Ba 0.0000 0.0000 0.2595
Li1 Li 0.3333 0.6667 0.1391
Pr1 Pr 0.3333 0.6667 0.5656
Hg1 Hg 0.3333 0.6667 0.3736
Hg2 Hg 0.3333 0.6667 0.8692
```

[3]
This record from Alexandria via LeMat-Bulk describes a relaxed structure of BaLi2HgRh. The functional is PBE.

Results
The uncorrected energy comes out at -14.10 eV per cell. As for the crystal system: tetragonal. Its formation energy from the elements is -0.1388 eV/atom. Its total magnetic moment is 0.00 μB/f.u.

Structure (CIF):
```
data_BaLi2HgRh
_cell_length_a 4.904
_cell_length_b 4.904
_cell_length_c 5.354
_cell_angle_alpha 90.00
_cell_angle_beta 90.00
_cell_angle_gamma 90.00
_symmetry_space_group_name_H-M 'P 4/m m m'
_symmetry_Int_Tables_number 123
_symmetry_space_group_name_Hall '-P 4 2'
loop_
_atom_site_label
_atom_site_type_symbol
_atom_site_fract_x
_atom_site_fract_y
_atom_site_fract_z
Ba1 Ba 0.000 0.000 0.000
Li1 Li 0.000 0.500 0.500
Hg1 Hg 0.500 0.500 0.000
Rh1 Rh 0.500 0.500 0.500
```

[4]
This record from Alexandria via LeMat-Bulk describes a relaxed structure of Ba2LiHgRh. The functional is PBE.

Results
The uncorrected energy comes out at -14.30 eV per cell. The energy above the most stable polymorph in this dataset comes out at 0.0 kJ per mole of atoms. As for the crystal system: tetragonal. Its formation energy from the elements is -0.1779 eV/atom. Its total magnetic moment is 0.00 μB/f.u.

Structure (CIF):
```
data_Ba2LiHgRh
_cell_length_a 5.943
_cell_length_b 5.943
_cell_length_c 4.916
_cell_angle_alpha 90.00
_cell_angle_beta 90.00
_cell_angle_gamma 90.00
_symmetry_space_group_name_H-M 'P 4/m m m'
_symmetry_Int_Tables_number 123
_symmetry_space_group_name_Hall '-P 4 2'
loop_
_atom_site_label
_atom_site_type_symbol
_atom_site_fract_x
_atom_site_fract_y
_atom_site_fract_z
Ba1 Ba 0.000 0.500 0.000
Li1 Li 0.000 0.000 0.500
Hg1 Hg 0.500 0.500 0.500
Rh1 Rh 0.000 0.000 0.000
```